A plane-wave DFT calculation with GGA-PBE was carried out for a geometry-optimized LiCeInOs structure.

Computed properties:
Total magnetization ... 0.000 μB per atom
Energy of formation from the pure elements ... -103 meV/atom

a = 6.7771 Å, b = 6.7771 Å, c = 6.7771 Å
α = 90.00°, β = 90.00°, γ = 90.00°
With the nearest neighbours (Å) after each atom.
Space group F-43m (No. 216)
Symmetry-distinct sites (fractional):
Li (0.0000, 0.0000, 0.0000) x4  4 In 2.93, 4 Ce 2.93
Ce (0.2500, 0.2500, 0.2500) x4  4 Li 2.93, 4 Os 2.93
In (0.2500, 0.2500, 0.7500) x4  4 Os 2.93, 4 Li 2.93
Os (0.0000, 0.0000, 0.5000) x4  4 Ce 2.93, 4 In 2.93


A plane-wave DFT calculation with GGA-PBE was carried out for a geometry-optimized LiCeInPb structure.

Computed properties:
Total magnetization ... 0.275 μB per atom
Energy of formation from the pure elements ... -311 meV/atom
Energy above the most stable polymorph in this dataset ... 1.80 kJ/mol of atoms

a = 7.4838 Å, b = 7.4838 Å, c = 7.4838 Å
α = 90.00°, β = 90.00°, γ = 90.00°
With the nearest neighbours (Å) after each atom.
Space group F-43m (No. 216)
Symmetry-distinct sites (fractional):
Li (0.0000, 0.0000, 0.0000) x4  4 In 3.24, 4 Pb 3.24
Ce (0.0000, 0.0000, 0.5000) x4  4 In 3.24, 4 Pb 3.24
In (0.2500, 0.2500, 0.2500) x4  4 Ce 3.24, 4 Li 3.24
Pb (0.2500, 0.2500, 0.7500) x4  4 Ce 3.24, 4 Li 3.24